This record from Alexandria via LeMat-Bulk describes a relaxed Ac2Er2TmHg5 crystal. The functional is PBE-GGA.

The structure in CIF format:
```
data_Ac2Er2TmHg5
_chemical_formula_sum 'Ac4 Er4 Tm2 Hg10'
_space_group_name_H-M_alt 'P 4/m b m'
_space_group_IT_number 127
_space_group_name_Hall '-P 4 2ab'
_cell_length_a 12.174
_cell_length_b 12.174
_cell_length_c 3.919
_cell_angle_alpha 90.00
_cell_angle_beta 90.00
_cell_angle_gamma 90.00
loop_
_atom_site_label
_atom_site_fract_x
_atom_site_fract_y
_atom_site_fract_z
_atom_site_occupancy
Ac1 0.173 0.327 0.000 1
Er1 0.130 0.630 0.000 1
Tm1 0.000 0.000 0.000 1
Hg1 0.000 0.500 0.500 1
Hg2 0.077 0.819 0.500 1
```

Output
Total DFT energy (no corrections) = -2.68 eV/atom

=====

This record from Alexandria via LeMat-Bulk describes a relaxed AcYErHg crystal. The functional is PBE-GGA.

The structure in CIF format:
```
data_AcYErHg
_chemical_formula_sum 'Ac4 Y4 Er4 Hg4'
_space_group_name_H-M_alt 'F -4 3 m'
_space_group_IT_number 216
_space_group_name_Hall 'F -4 2 3'
_cell_length_a 7.869
_cell_length_b 7.869
_cell_length_c 7.869
_cell_angle_alpha 90.00
_cell_angle_beta 90.00
_cell_angle_gamma 90.00
loop_
_atom_site_label
_atom_site_fract_x
_atom_site_fract_y
_atom_site_fract_z
_atom_site_occupancy
Ac1 0.000 0.000 0.000 1
Y1 0.250 0.250 0.250 1
Er1 0.250 0.250 0.750 1
Hg1 0.000 0.000 0.500 1
```

Output
Total DFT energy (no corrections) = -3.80 eV/atom

=====

This record from Alexandria via LeMat-Bulk describes a relaxed Ac2Ho6Er5 crystal. The functional is PBE-GGA.

The structure in CIF format:
```
data_Ac2Ho6Er5
_chemical_formula_sum 'Ac4 Ho12 Er10'
_space_group_name_H-M_alt 'P b a m'
_space_group_IT_number 55
_space_group_name_Hall '-P 2 2ab'
_cell_length_a 10.295
_cell_length_b 15.051
_cell_length_c 5.653
_cell_angle_alpha 90.00
_cell_angle_beta 90.00
_cell_angle_gamma 90.00
loop_
_atom_site_label
_atom_site_fract_x
_atom_site_fract_y
_atom_site_fract_z
_atom_site_occupancy
Ac1 0.151 0.219 0.000 1
Ho1 0.054 0.601 0.000 1
Ho2 0.179 0.953 0.000 1
Ho3 0.234 0.603 0.500 1
Er1 0.000 0.000 0.500 1
Er2 0.072 0.787 0.500 1
Er3 0.128 0.396 0.500 1
```

Output
Total DFT energy (no corrections) = -4.33 eV/atom

=====

This record from Alexandria via LeMat-Bulk describes a relaxed AcHoEr2 crystal. The functional is PBE-GGA.

The structure in CIF format:
```
data_AcHoEr2
_chemical_formula_sum 'Ac1 Ho1 Er2'
_space_group_name_H-M_alt 'P 4/m m m'
_space_group_IT_number 123
_space_group_name_Hall '-P 4 2'
_cell_length_a 5.147
_cell_length_b 5.147
_cell_length_c 5.114
_cell_angle_alpha 90.00
_cell_angle_beta 90.00
_cell_angle_gamma 90.00
loop_
_atom_site_label
_atom_site_fract_x
_atom_site_fract_y
_atom_site_fract_z
_atom_site_occupancy
Ac1 0.000 0.000 0.000 1
Ho1 0.500 0.500 0.000 1
Er1 0.000 0.500 0.500 1
```

Output
Energy above the most stable polymorph in this dataset = 0.018 eV per atom
Total DFT energy (no corrections) = -4.38 eV/atom

=====

This record from Alexandria via LeMat-Bulk describes a relaxed Ac2HoEr crystal. The functional is PBE-GGA.

The structure in CIF format:
```
data_Ac2HoEr
_chemical_formula_sum 'Ac6 Ho3 Er3'
_space_group_name_H-M_alt 'R 3 m'
_space_group_IT_number 160
_space_group_name_Hall 'R 3 -2"'
_cell_length_a 3.7839
_cell_length_b 3.7839
_cell_length_c 36.0608
_cell_angle_alpha 90.00
_cell_angle_beta 90.00
_cell_angle_gamma 120.00
loop_
_atom_site_label
_atom_site_fract_x
_atom_site_fract_y
_atom_site_fract_z
_atom_site_occupancy
Ac1 0.0000 0.0000 0.0000 1
Ac2 0.0000 0.0000 0.1659 1
Ho1 0.0000 0.0000 0.5818 1
Er1 0.0000 0.0000 0.7504 1
```

Output
Energy above the most stable polymorph in this dataset = 0.031 eV per atom
Total DFT energy (no corrections) = -4.25 eV/atom

=====

This record from Alexandria via LeMat-Bulk describes a relaxed AcHo4Er crystal. The functional is PBE-GGA.

The structure in CIF format:
```
data_AcHo4Er
_chemical_formula_sum 'Ac4 Ho16 Er4'
_space_group_name_H-M_alt 'C 1 2/c 1'
_space_group_IT_number 15
_space_group_name_Hall '-C 2yc'
_cell_length_a 10.658
_cell_length_b 13.287
_cell_length_c 6.663
_cell_angle_alpha 90.00
_cell_angle_beta 122.60
_cell_angle_gamma 90.00
loop_
_atom_site_label
_atom_site_fract_x
_atom_site_fract_y
_atom_site_fract_z
_atom_site_occupancy
Ac1 0.000 0.075 0.250 1
Ho1 0.160 0.421 0.746 1
Ho2 0.165 0.316 0.245 1
Er1 0.000 0.191 0.750 1
```

Output
Energy above the most stable polymorph in this dataset = 0.004 eV per atom
Total DFT energy (no corrections) = -4.44 eV/atom

=====

This record from Alexandria via LeMat-Bulk describes a relaxed AcHo3Er6 crystal. The functional is PBE-GGA.

The structure in CIF format:
```
data_AcHo3Er6
_chemical_formula_sum 'Ac3 Ho9 Er18'
_space_group_name_H-M_alt 'R 3'
_space_group_IT_number 146
_space_group_name_Hall 'R 3'
_cell_length_a 9.7679
_cell_length_b 9.7679
_cell_length_c 12.0061
_cell_angle_alpha 90.00
_cell_angle_beta 90.00
_cell_angle_gamma 120.00
loop_
_atom_site_label
_atom_site_fract_x
_atom_site_fract_y
_atom_site_fract_z
_atom_site_occupancy
Ac1 0.0000 0.0000 0.0000 1
Ho1 0.0000 0.0000 0.2610 1
Ho2 0.0000 0.0000 0.4997 1
Ho3 0.0000 0.0000 0.7381 1
Er1 0.0003 0.3487 0.0006 1
Er2 0.0001 0.6643 0.5006 1
```

Output
Total DFT energy (no corrections) = -4.19 eV/atom

=====

This record from Alexandria via LeMat-Bulk describes a relaxed AcHo4Er4 crystal. The functional is PBE-GGA.

The structure in CIF format:
```
data_AcHo4Er4
_chemical_formula_sum 'Ac4 Ho16 Er16'
_space_group_name_H-M_alt 'C 1 2/m 1'
_space_group_IT_number 12
_space_group_name_Hall '-C 2y'
_cell_length_a 6.344
_cell_length_b 17.204
_cell_length_c 10.866
_cell_angle_alpha 90.00
_cell_angle_beta 100.11
_cell_angle_gamma 90.00
loop_
_atom_site_label
_atom_site_fract_x
_atom_site_fract_y
_atom_site_fract_z
_atom_site_occupancy
Ac1 0.220 0.000 0.274 1
Ho1 0.021 0.189 0.665 1
Ho2 0.227 0.000 0.614 1
Ho3 0.231 0.000 0.945 1
Er1 0.000 0.184 0.000 1
Er2 0.000 0.356 0.500 1
Er3 0.005 0.356 0.161 1
```

Output
Total DFT energy (no corrections) = -4.39 eV/atom

=====

This record from Alexandria via LeMat-Bulk describes a relaxed AcHoEr5 crystal. The functional is PBE-GGA.

The structure in CIF format:
```
data_AcHoEr5
_chemical_formula_sum 'Ac4 Ho4 Er20'
_space_group_name_H-M_alt 'C 1 2/c 1'
_space_group_IT_number 15
_space_group_name_Hall '-C 2yc'
_cell_length_a 11.750
_cell_length_b 6.743
_cell_length_c 12.390
_cell_angle_alpha 90.00
_cell_angle_beta 109.39
_cell_angle_gamma 90.00
loop_
_atom_site_label
_atom_site_fract_x
_atom_site_fract_y
_atom_site_fract_z
_atom_site_occupancy
Ac1 0.250 0.250 0.000 1
Ho1 0.000 0.033 0.250 1
Er1 0.000 0.419 0.750 1
Er2 0.067 0.273 0.496 1
Er3 0.226 0.355 0.261 1
```

Output
Total DFT energy (no corrections) = -4.30 eV/atom

=====

This record from Alexandria via LeMat-Bulk describes a relaxed Ac2Ho12Er5 crystal. The functional is PBE-GGA.

The structure in CIF format:
```
data_Ac2Ho12Er5
_chemical_formula_sum 'Ac4 Ho24 Er10'
_space_group_name_H-M_alt 'C 1 2/m 1'
_space_group_IT_number 12
_space_group_name_Hall '-C 2y'
_cell_length_a 17.372
_cell_length_b 6.867
_cell_length_c 11.229
_cell_angle_alpha 90.00
_cell_angle_beta 105.68
_cell_angle_gamma 90.00
loop_
_atom_site_label
_atom_site_fract_x
_atom_site_fract_y
_atom_site_fract_z
_atom_site_occupancy
Ac1 0.000 0.247 0.000 1
Ho1 0.053 0.500 0.277 1
Ho2 0.078 0.000 0.419 1
Ho3 0.114 0.242 0.743 1
Ho4 0.194 0.244 0.230 1
Er1 0.000 0.500 0.500 1
Er2 0.210 0.500 0.510 1
Er3 0.236 0.500 0.994 1
```

Output
Energy above the most stable polymorph in this dataset = 0.164 eV per atom
Total DFT energy (no corrections) = -4.24 eV/atom

=====

This record from Alexandria via LeMat-Bulk describes a relaxed AcHoEr2 crystal. The functional is PBE-GGA.

The structure in CIF format:
```
data_AcHoEr2
_chemical_formula_sum 'Ac1 Ho1 Er2'
_space_group_name_H-M_alt 'P 4/m m m'
_space_group_IT_number 123
_space_group_name_Hall '-P 4 2'
_cell_length_a 4.104
_cell_length_b 4.104
_cell_length_c 8.178
_cell_angle_alpha 90.00
_cell_angle_beta 90.00
_cell_angle_gamma 90.00
loop_
_atom_site_label
_atom_site_fract_x
_atom_site_fract_y
_atom_site_fract_z
_atom_site_occupancy
Ac1 0.000 0.000 0.000 1
Ho1 0.000 0.000 0.500 1
Er1 0.500 0.500 0.277 1
```

Output
Energy above the most stable polymorph in this dataset = 0.055 eV per atom
Total DFT energy (no corrections) = -4.35 eV/atom

=====

This record from Alexandria via LeMat-Bulk describes a relaxed Ac4HoEr crystal. The functional is PBE-GGA.

The structure in CIF format:
```
data_Ac4HoEr
_chemical_formula_sum 'Ac4 Ho1 Er1'
_space_group_name_H-M_alt 'P m m m'
_space_group_IT_number 47
_space_group_name_Hall '-P 2 2'
_cell_length_a 3.716
_cell_length_b 5.785
_cell_length_c 11.287
_cell_angle_alpha 90.00
_cell_angle_beta 90.00
_cell_angle_gamma 90.00
loop_
_atom_site_label
_atom_site_fract_x
_atom_site_fract_y
_atom_site_fract_z
_atom_site_occupancy
Ac1 0.000 0.000 0.156 1
Ac2 0.000 0.500 0.343 1
Ho1 0.500 0.000 0.500 1
Er1 0.500 0.500 0.000 1
```

Output
Total DFT energy (no corrections) = -4.09 eV/atom

=====

M_tot per entry: 0.63 0.00 0.00 0.00 0.00 0.00 0.00 0.00 0.00 0.01 0.00 0.00 μB/f.u.